Below is crystalline Be2AlMo at its relaxed geometry, with properties calculated at the GGA-PBE level.

Cell lengths 4.109, 4.109, 4.109 Å; angles 60.00, 60.00, 60.00 degrees
Fractional coordinates of all 4 atoms:
Be (0.750, 0.750, 0.750)
Be (0.000, 0.000, 0.000)
Mo (0.250, 0.250, 0.250)
Al (0.500, 0.500, 0.500)

Properties
**Space group**: F-43m
**DFT formation energy**: 266 meV/atom
**Electronic total energy**: -5.240 eV/atom


Below is crystalline BeAlMo2 at its relaxed geometry, with properties calculated at the GGA-PBE level.

Cell lengths 2.665, 3.976, 5.317 Å; angles 90.00, 90.00, 90.00 degrees
Fractional coordinates of all 4 atoms:
Mo (0.000, 0.000, 0.992)
Mo (0.000, 0.000, 0.508)
Be (0.500, 0.500, 0.750)
Al (0.500, 0.500, 0.250)

Properties
**Space group**: Pmmm
**Energy above the most stable polymorph in this dataset**: 0.1121 eV/atom
**DFT formation energy**: 47 meV/atom
**Electronic total energy**: -7.236 eV/atom


Below is crystalline BeAlMo2 at its relaxed geometry, with properties calculated at the GGA-PBE level.

Cell lengths 4.761, 4.761, 4.761 Å; angles 138.44, 127.82, 68.81 degrees
Fractional coordinates of all 4 atoms:
Mo (0.010, 0.010, 0.000)
Mo (0.751, 0.251, 0.500)
Al (0.483, 0.483, 0.000)
Be (0.256, 0.756, 0.500)

Properties
**Space group**: Imm2
**Energy above the most stable polymorph in this dataset**: 0.0214 eV/atom
**DFT formation energy**: -44 meV/atom
**Electronic total energy**: -7.327 eV/atom


Below is crystalline BeAlMo2 at its relaxed geometry, with properties calculated at the GGA-PBE level.

Cell lengths 8.704, 8.704, 8.704 Å; angles 18.43, 18.43, 18.43 degrees
Fractional coordinates of all 4 atoms:
Al (0.250, 0.250, 0.250)
Mo (0.005, 0.005, 0.005)
Mo (0.495, 0.495, 0.495)
Be (0.750, 0.750, 0.750)

Properties
**Space group**: R-3m
**Energy above the most stable polymorph in this dataset**: 0.2492 eV/atom
**DFT formation energy**: 184 meV/atom
**Electronic total energy**: -7.099 eV/atom


Below is crystalline BeAlMo2 at its relaxed geometry, with properties calculated at the GGA-PBE level.

Cell lengths 3.177, 3.177, 5.681 Å; angles 90.00, 90.00, 90.00 degrees
Fractional coordinates of all 4 atoms:
Al (0.000, 0.000, 0.521)
Be (0.500, 0.500, 0.749)
Mo (0.000, 0.000, 0.000)
Mo (0.500, 0.500, 0.230)

Properties
**Space group**: P4mm
**Energy above the most stable polymorph in this dataset**: 0.0555 eV/atom
**DFT formation energy**: -10 meV/atom
**Electronic total energy**: -7.293 eV/atom


Below is crystalline BeAlMo2 at its relaxed geometry, with properties calculated at the GGA-PBE level.

Cell lengths 3.665, 3.665, 9.522 Å; angles 78.90, 78.90, 90.00 degrees
Fractional coordinates of all 8 atoms:
Be (0.500, 0.500, 0.000)
Be (0.250, 0.750, 0.500)
Mo (0.131, 0.625, 0.250)
Mo (0.375, 0.381, 0.750)
Mo (0.619, 0.125, 0.250)
Mo (0.875, 0.869, 0.750)
Al (0.750, 0.250, 0.500)
Al (0.000, 0.000, 0.000)

Properties
**Space group**: I-42d
**Energy above the most stable polymorph in this dataset**: 0.5224 eV/atom
**DFT formation energy**: 457 meV/atom
**Electronic total energy**: -6.826 eV/atom


Below is crystalline BeAlMoOs at its relaxed geometry, with properties calculated at the GGA-PBE level.

Cell lengths 4.243, 4.243, 4.243 Å; angles 60.00, 60.00, 60.00 degrees
Fractional coordinates of all 4 atoms:
Be (0.000, 0.000, 0.000)
Os (0.500, 0.500, 0.500)
Mo (0.750, 0.750, 0.750)
Al (0.250, 0.250, 0.250)

Properties
**Space group**: F-43m
**DFT formation energy**: -144 meV/atom
**Electronic total energy**: -7.527 eV/atom


Below is crystalline BeAlReMo2 at its relaxed geometry, with properties calculated at the GGA-PBE level.

Cell lengths 4.508, 4.445, 4.508 Å; angles 90.00, 90.00, 90.00 degrees
Fractional coordinates of all 5 atoms:
Be (0.500, 0.500, 0.500)
Re (0.000, 0.500, 0.000)
Mo (0.000, 0.000, 0.500)
Mo (0.500, 0.000, 0.000)
Al (0.000, 0.000, 0.000)

Properties
**Space group**: P4/mmm
**DFT formation energy**: 1875 meV/atom
**Electronic total energy**: -6.440 eV/atom


Below is crystalline BeAl2SbMo at its relaxed geometry, with properties calculated at the GGA-PBE level.

Cell lengths 4.913, 5.111, 4.913 Å; angles 90.00, 90.00, 90.00 degrees
Fractional coordinates of all 5 atoms:
Al (0.000, 0.000, 0.500)
Al (0.500, 0.000, 0.000)
Be (0.500, 0.500, 0.500)
Mo (0.000, 0.000, 0.000)
Sb (0.000, 0.500, 0.000)

Properties
**Space group**: P4/mmm
**Electronic total energy**: -4.334 eV/atom
**E_form (uncorrected)**: 899 meV/atom


Below is crystalline ScBeAl2Mo at its relaxed geometry, with properties calculated at the GGA-PBE level.

Cell lengths 5.073, 4.527, 5.073 Å; angles 90.00, 90.00, 90.00 degrees
Fractional coordinates of all 5 atoms:
Al (0.500, 0.000, 0.000)
Al (0.000, 0.000, 0.500)
Mo (0.000, 0.500, 0.000)
Be (0.500, 0.500, 0.500)
Sc (0.000, 0.000, 0.000)

Properties
**Space group**: P4/mmm
**DFT formation energy**: 1715 meV/atom
**Electronic total energy**: -3.960 eV/atom


Below is crystalline BeAlTeMo2 at its relaxed geometry, with properties calculated at the GGA-PBE level.

Cell lengths 4.752, 3.962, 4.752 Å; angles 90.00, 90.00, 90.00 degrees
Fractional coordinates of all 5 atoms:
Te (0.500, 0.500, 0.500)
Mo (0.000, 0.000, 0.500)
Mo (0.500, 0.000, 0.000)
Al (0.000, 0.000, 0.000)
Be (0.000, 0.500, 0.000)

Properties
**Space group**: P4/mmm
**Electronic total energy**: -5.314 eV/atom
**E_form (uncorrected)**: 1140 meV/atom


Below is crystalline BeAl2TeMo at its relaxed geometry, with properties calculated at the GGA-PBE level.

Cell lengths 5.263, 5.095, 5.263 Å; angles 90.00, 90.00, 90.00 degrees
Fractional coordinates of all 5 atoms:
Te (0.000, 0.000, 0.000)
Al (0.000, 0.000, 0.500)
Al (0.500, 0.000, 0.000)
Mo (0.000, 0.500, 0.000)
Be (0.500, 0.500, 0.500)

Properties
**Space group**: P4/mmm
**Electronic total energy**: -3.257 eV/atom
**E_form (uncorrected)**: 1780 meV/atom